w | The following is a PBE calculation of crystalline CaPr3Rh2 at its relaxed geometry, from Alexandria via LeMat-Bulk.

a = 6.9641 Å, b = 13.9318 Å, c = 7.3554 Å
α = 90.00°, β = 90.00°, γ = 90.00°
With the nearest neighbours (Å) after each atom.
Space group Ibam (No. 72)
Symmetry-distinct sites (fractional):
Ca 0.0000 0.0000 0.0000  2 Rh 2.81
Pr 0.0000 0.2328 0.2500  4 Rh 2.94-3.03
Pr 0.0000 0.5000 0.2500  4 Rh 3.04
Rh 0.2080 0.3606 0.0000  1 Ca 2.81, 6 Pr 2.94-3.04

Results
mass density	6.22	g/cm³

***

x | The following is a PBE calculation of crystalline CaPr3Rh2 at its relaxed geometry, from Alexandria via LeMat-Bulk.

a = 5.6293 Å, b = 14.5009 Å, c = 3.8293 Å
α = 90.00°, β = 90.00°, γ = 90.00°
With the nearest neighbours (Å) after each atom.
Space group Cmmm (No. 65)
Symmetry-distinct sites (fractional):
Ca 0.0000 0.0000 0.0000  4 Rh 2.95
Pr 0.0000 0.3034 0.0000  2 Rh 2.88, 2 Pr 3.21
Pr 0.0000 0.5000 0.5000  4 Ca 3.40, 4 Pr 3.43, 4 Rh 3.60
Rh 0.0000 0.1549 0.5000  2 Pr 2.88, 2 Ca 2.95

Results
mass density	7.10	g/cm³

***

Most stable: w

***

w | The following is a PBE calculation of crystalline CaPr4Ru2 at its relaxed geometry, from Alexandria via LeMat-Bulk.

a = 7.8455 Å, b = 6.9539 Å, c = 8.6685 Å
α = 90.00°, β = 116.09°, γ = 90.00°
With the nearest neighbours (Å) after each atom.
Space group P2_1/m (No. 11)
Symmetry-distinct sites (fractional):
Ca 0.2417 0.2500 0.2227  1 Ru 2.94
Pr 0.0152 0.2500 0.7640  1 Ru 2.75
Pr 0.3015 0.7500 0.9924  2 Ru 2.85-2.88
Pr 0.3051 0.0018 0.5967  4 Ru 2.87-3.07
Ru 0.0365 0.7500 0.6345  5 Pr 2.87-3.07, 1 Ca 2.94
Ru 0.3706 0.7500 0.3437  6 Pr 2.75-3.02

Results
mass density	6.30	g/cm³

***

x | The following is a PBE calculation of crystalline CaPr4Ru2 at its relaxed geometry, from Alexandria via LeMat-Bulk.

a = 7.3488 Å, b = 7.4338 Å, c = 9.1530 Å
α = 109.39°, β = 110.27°, γ = 95.42°
With the nearest neighbours (Å) after each atom.
Space group P1 (No. 1)
Symmetry-distinct sites (fractional):
Ca 0.0000 0.0000 0.0000  4 Ru 3.31-3.63, 2 Pr 3.45-3.50
Ca 0.0945 0.9194 0.5029  2 Ru 3.07-3.11, 6 Pr 3.20-3.44
Pr 0.3072 0.6894 0.7582  2 Ru 2.72-2.85
Pr 0.3138 0.7044 0.2342  2 Ru 2.73-2.81
Pr 0.3606 0.2655 0.4547  3 Ru 2.82-3.12
Pr 0.4105 0.2324 0.8654  2 Ru 2.73-2.85
Pr 0.7378 0.6541 0.5483  3 Ru 2.81-3.08
Pr 0.7471 0.1760 0.2592  2 Ru 2.80-2.89
Pr 0.7751 0.6092 0.1429  2 Ru 2.75-2.84
Pr 0.8535 0.2768 0.7616  2 Ru 2.77-2.91
Ru 0.0770 0.4774 0.3237  4 Pr 2.75-2.90
Ru 0.4286 0.3593 0.2013  4 Pr 2.73-2.85
Ru 0.5407 0.9445 0.6816  4 Pr 2.73-2.91
Ru 0.6592 0.5797 0.8046  4 Pr 2.72-2.84

Results
mass density	6.23	g/cm³

***

Most stable: w

***

w | The following is a PBE calculation of crystalline CaPr2Ru at its relaxed geometry, from Alexandria via LeMat-Bulk.

a = 4.1198 Å, b = 4.1198 Å, c = 28.3128 Å
α = 90.00°, β = 90.00°, γ = 120.00°
With the nearest neighbours (Å) after each atom.
Space group R3m (No. 160, hexagonal axes)
Symmetry-distinct sites (fractional):
Ca 0.0000 0.0000 0.0000  6 Pr 3.95-4.00, 6 Ca 4.12
Pr 0.0000 0.0000 0.2221  3 Ru 2.83
Pr 0.0000 0.0000 0.4470  3 Ru 2.84
Ru 0.0000 0.0000 0.8349  6 Pr 2.83-2.84

Results
mass density	5.06	g/cm³

***

x | The following is a PBE calculation of crystalline CaPr2Ru at its relaxed geometry, from Alexandria via LeMat-Bulk.

a = 7.4908 Å, b = 9.7174 Å, c = 6.5861 Å
α = 90.00°, β = 90.00°, γ = 90.00°
With the nearest neighbours (Å) after each atom.
Space group Pnma (No. 62)
Symmetry-distinct sites (fractional):
Ca 0.0459 0.2500 0.1395  2 Ru 3.00-3.02
Pr 0.1731 0.0662 0.6732  2 Ru 2.79-3.01
Ru 0.0974 0.7500 0.4314  4 Pr 2.79-3.01, 2 Ca 3.00-3.02

Results
mass density	5.86	g/cm³

***

Most stable: x